1.
First-principles (PBE) data for crystalline PaV2S6 at its relaxed geometry, as listed in the Alexandria database.

a = 4.6303 Å, b = 6.6002 Å, c = 7.1334 Å
α = 72.65°, β = 71.06°, γ = 69.47°
Site moments in Bohr magnetons follow the coordinates.
Element x y z (fractional)
S  0.7405  0.6360  0.8830  -0.07
S  0.9640  0.8703  0.2017  -0.10
S  0.0360  0.1297  0.7983  -0.10
S  0.2595  0.3640  0.1170  -0.07
S  0.6405  0.2787  0.4403  -0.07
S  0.3595  0.7213  0.5597  -0.07
V  0.1796  0.7345  0.9064  1.49
V  0.8204  0.2655  0.0936  1.49
Pa  0.0000  0.5000  0.5000  0.21

Output
**E_form (uncorrected)**: -1.03 eV per atom
**DOS at the Fermi energy**: 3.94 states/eV/cell

---

2.
First-principles (PBE) data for crystalline Pr2ZnFe2Co5 at its relaxed geometry, as listed in the Alexandria database.

a = 3.7756 Å, b = 9.0542 Å, c = 9.0542 Å
α = 90.00°, β = 90.00°, γ = 90.00°
Site moments in Bohr magnetons follow the coordinates.
Element x y z (fractional)
Pr  0.0000  0.6893  0.1893  -0.19
Pr  0.0000  0.8107  0.6893  -0.19
Pr  0.0000  0.3107  0.8107  -0.19
Pr  0.0000  0.1893  0.3107  -0.19
Co  0.5000  0.9472  0.2085  1.25
Co  0.5000  0.7915  0.9472  1.25
Co  0.5000  0.7085  0.4472  1.25
Co  0.5000  0.4472  0.2915  1.25
Co  0.5000  0.5528  0.7085  1.25
Co  0.5000  0.0000  0.5000  1.32
Co  0.5000  0.2915  0.5528  1.25
Co  0.5000  0.5000  0.0000  1.32
Co  0.5000  0.0528  0.7915  1.25
Co  0.5000  0.2085  0.0528  1.25
Zn  0.0000  0.0000  0.0000  -0.03
Zn  0.0000  0.5000  0.5000  -0.03
Fe  0.0000  0.6082  0.8918  2.36
Fe  0.0000  0.8918  0.3918  2.36
Fe  0.0000  0.1082  0.6082  2.36
Fe  0.0000  0.3918  0.1082  2.36

Output
**Formation energy**: 0.163 eV per atom
**DOS at the Fermi energy**: 18.80 states/eV/cell

---

3.
First-principles (PBE) data for crystalline CsKAgCl at its relaxed geometry, as listed in the Alexandria database.

a = 5.9857 Å, b = 5.9857 Å, c = 5.9857 Å
α = 60.00°, β = 60.00°, γ = 60.00°
Element x y z (fractional)
K  0.0000  0.0000  0.0000
Cl  0.7500  0.7500  0.7500
Ag  0.2500  0.2500  0.2500
Cs  0.5000  0.5000  0.5000

Output
**E_form (uncorrected)**: -0.81 eV per atom
**DOS at the Fermi energy**: 0.00 states/eV/cell

---

4.
First-principles (PBE) data for crystalline TcHg2Cl at its relaxed geometry, as listed in the Alexandria database.

a = 3.2069 Å, b = 3.2069 Å, c = 9.0126 Å
α = 90.00°, β = 90.00°, γ = 116.71°
Site moments in Bohr magnetons follow the coordinates.
Element x y z (fractional)
Cl  0.5000  0.5000  0.7500  0.00
Hg  0.0000  0.0000  0.0044  0.01
Hg  0.0000  0.0000  0.4956  0.01
Tc  0.5000  0.5000  0.2500  1.42

Output
**E_form (uncorrected)**: 0.45 eV per atom
**Energy above the lowest structure with this stoichiometry**: 0.237 eV per atom
**DOS at the Fermi energy**: 2.21 states/eV/cell

---

5.
First-principles (PBE) data for crystalline Nb3PtO at its relaxed geometry, as listed in the Alexandria database.

a = 4.2387 Å, b = 4.2387 Å, c = 4.2387 Å
α = 90.00°, β = 90.00°, γ = 90.00°
Element x y z (fractional)
Pt  0.5000  0.5000  0.5000
O  0.0000  0.0000  0.0000
Nb  0.5000  0.0000  0.0000
Nb  0.0000  0.0000  0.5000
Nb  0.0000  0.5000  0.0000

Output
**E_form (uncorrected)**: -0.88 eV per atom
**DOS at the Fermi energy**: 4.64 states/eV/cell

---

6.
First-principles (PBE) data for crystalline LaCeHg at its relaxed geometry, as listed in the Alexandria database.

a = 6.0693 Å, b = 3.3384 Å, c = 10.4558 Å
α = 89.97°, β = 125.50°, γ = 90.02°
Site moments in Bohr magnetons follow the coordinates.
Element x y z (fractional)
Ce  0.3076  0.3252  0.3634  0.66
Ce  0.7679  0.3252  0.3643  0.66
La  0.9050  0.3263  0.7308  0.00
La  0.6676  0.3239  0.9937  -0.07
Hg  0.3209  0.8251  0.6466  0.00
Hg  0.2414  0.8252  0.0671  0.00

Output
**Formation energy**: -0.182 eV per atom
**Energy above the lowest structure with this stoichiometry**: 0.077 eV per atom
**DOS at the Fermi energy**: 12.10 states/eV/cell

---

7.
First-principles (PBE) data for crystalline Rb2TlCI6 at its relaxed geometry, as listed in the Alexandria database.

a = 8.2197 Å, b = 8.2197 Å, c = 8.2142 Å
α = 59.98°, β = 59.98°, γ = 90.00°
Element x y z (fractional)
Rb  0.2500  0.7500  0.5000
Rb  0.7500  0.2500  0.5000
I  0.7304  0.7304  0.5392
I  0.2697  0.7303  0.0000
I  0.2696  0.2696  0.4608
I  0.7303  0.7303  0.0000
I  0.2697  0.2697  0.0000
I  0.7303  0.2697  0.0000
C  0.5000  0.5000  0.0000
Tl  0.0000  0.0000  0.0000

Output
**E_form (uncorrected)**: -0.20 eV per atom
**DOS at the Fermi energy**: 4.13 states/eV/cell

---

8.
First-principles (PBE) data for crystalline LiBiAu6 at its relaxed geometry, as listed in the Alexandria database.

a = 4.9054 Å, b = 6.0261 Å, c = 6.0261 Å
α = 119.97°, β = 90.00°, γ = 90.00°
Element x y z (fractional)
Au  0.0000  0.5898  0.4102
Au  0.0000  0.5897  0.9292
Au  0.5000  0.9212  0.5924
Au  0.5000  0.9206  0.0794
Au  0.0000  0.0708  0.4103
Au  0.5000  0.4076  0.0788
Bi  0.5000  0.4168  0.5832
Li  0.0000  0.0832  0.9168

Output
**Formation energy**: -0.119 eV per atom
**Energy above the lowest structure with this stoichiometry**: 0.009 eV per atom
**DOS at the Fermi energy**: 3.11 states/eV/cell

---

9.
First-principles (PBE) data for crystalline Ce2PdF at its relaxed geometry, as listed in the Alexandria database.

a = 3.1431 Å, b = 3.1431 Å, c = 9.4175 Å
α = 80.39°, β = 80.39°, γ = 60.00°
Site moments in Bohr magnetons follow the coordinates.
Element x y z (fractional)
Ce  0.9051  0.9051  0.2846  0.41
Ce  0.0949  0.0949  0.7154  0.41
F  0.5000  0.5000  0.5000  0.00
Pd  0.0000  0.0000  0.0000  -0.01

Output
**E_form (uncorrected)**: -1.11 eV per atom
**DOS at the Fermi energy**: 7.84 states/eV/cell

---

10.
First-principles (PBE) data for crystalline TaIr3 at its relaxed geometry, as listed in the Alexandria database.

a = 2.7800 Å, b = 2.7800 Å, c = 7.9193 Å
α = 90.00°, β = 90.00°, γ = 90.01°
Element x y z (fractional)
Ir  0.0000  0.0000  0.9935
Ir  0.0000  0.0000  0.5065
Ir  0.5000  0.5000  0.7500
Ta  0.5000  0.5000  0.2500

Output
**Formation energy**: -0.266 eV per atom
**DOS at the Fermi energy**: 3.99 states/eV/cell

---

11.
First-principles (PBE) data for crystalline Ce3Hg2Au4 at its relaxed geometry, as listed in the Alexandria database.

a = 4.9049 Å, b = 5.9545 Å, c = 9.1249 Å
α = 117.72°, β = 90.00°, γ = 114.32°
Site moments in Bohr magnetons follow the coordinates.
Element x y z (fractional)
Hg  0.6208  0.2417  0.2861  0.00
Hg  0.3792  0.7583  0.7139  0.00
Au  0.0573  0.1147  0.3916  -0.01
Au  0.2747  0.5493  0.9431  -0.01
Au  0.7253  0.4507  0.0569  -0.01
Au  0.9427  0.8853  0.6084  -0.01
Ce  0.0000  0.0000  0.0000  0.74
Ce  0.3389  0.6779  0.3259  0.69
Ce  0.6611  0.3221  0.6741  0.69

Output
**Formation energy**: -0.588 eV per atom
**DOS at the Fermi energy**: 17.52 states/eV/cell

---

no.,calculated density (g/cm3)
1,4.6
2,8.1
3,3.5
4,10.7
5,10.7
6,9.2
7,4.9
8,15.0
9,8.5
10,20.6
11,12.8